Record 1
An optimized crystal structure of Tm3NiRh2, computed with PBE.

Geometry as CIF:
```
data_Tm3NiRh2
_cell_length_a 4.759
_cell_length_b 4.759
_cell_length_c 11.678
_cell_angle_alpha 90.00
_cell_angle_beta 90.00
_cell_angle_gamma 120.00
_symmetry_space_group_name_H-M 'P 1'
_symmetry_Int_Tables_number 1
loop_
_symmetry_equiv_pos_as_xyz
'x,y,z'
loop_
_atom_site_label
_atom_site_fract_x
_atom_site_fract_y
_atom_site_fract_z
_atom_site_occupancy
Rh1 0.333 0.667 0.168 1
Rh2 0.000 0.000 0.500 1
Rh3 0.667 0.333 0.832 1
Rh4 0.000 0.000 0.000 1
Tm1 0.667 0.333 0.085 1
Tm2 0.333 0.667 0.417 1
Tm3 0.000 0.000 0.252 1
Tm4 0.000 0.000 0.748 1
Tm5 0.333 0.667 0.915 1
Tm6 0.667 0.333 0.583 1
Ni1 0.333 0.667 0.667 1
Ni2 0.667 0.333 0.333 1
```

Summary:
Calculated formation energy = -0.79 eV per atom

Record 2
An optimized crystal structure of LaPmCu2, computed with PBE.

Geometry as CIF:
```
data_LaPmCu2
_cell_length_a 5.111
_cell_length_b 5.111
_cell_length_c 5.111
_cell_angle_alpha 60.00
_cell_angle_beta 60.00
_cell_angle_gamma 60.00
_symmetry_space_group_name_H-M 'P 1'
_symmetry_Int_Tables_number 1
loop_
_symmetry_equiv_pos_as_xyz
'x,y,z'
loop_
_atom_site_label
_atom_site_fract_x
_atom_site_fract_y
_atom_site_fract_z
_atom_site_occupancy
La1 0.500 0.500 0.500 1
Cu1 0.750 0.750 0.750 1
Cu2 0.250 0.250 0.250 1
Pm1 0.000 0.000 0.000 1
```

Summary:
Calculated formation energy = -0.14 eV per atom
Excess energy over the best structure of this formula in the dataset = 38.0 meV per atom

Record 3
An optimized crystal structure of Ho2PuScS6, computed with PBE.

Geometry as CIF:
```
data_Ho2PuScS6
_cell_length_a 6.806
_cell_length_b 6.806
_cell_length_c 7.279
_cell_angle_alpha 62.13
_cell_angle_beta 62.13
_cell_angle_gamma 60.00
_symmetry_space_group_name_H-M 'P 1'
_symmetry_Int_Tables_number 1
loop_
_symmetry_equiv_pos_as_xyz
'x,y,z'
loop_
_atom_site_label
_atom_site_fract_x
_atom_site_fract_y
_atom_site_fract_z
_atom_site_occupancy
Pu1 0.816 0.816 0.552 1
Ho1 0.518 0.518 0.445 1
Ho2 0.015 0.015 0.955 1
S1 0.121 0.412 0.759 1
S2 0.708 0.121 0.759 1
S3 0.412 0.708 0.759 1
S4 0.934 0.598 0.249 1
S5 0.598 0.219 0.249 1
S6 0.219 0.934 0.249 1
Sc1 0.320 0.320 0.040 1
```

Summary:
Formation energy without anion corrections = -1.87 eV per atom

Record 4
An optimized crystal structure of Mg2Sb2Pb, computed with PBE.

Geometry as CIF:
```
data_Mg2Sb2Pb
_cell_length_a 8.798
_cell_length_b 8.798
_cell_length_c 3.449
_cell_angle_alpha 90.00
_cell_angle_beta 90.00
_cell_angle_gamma 90.00
_symmetry_space_group_name_H-M 'P 1'
_symmetry_Int_Tables_number 1
loop_
_symmetry_equiv_pos_as_xyz
'x,y,z'
loop_
_atom_site_label
_atom_site_fract_x
_atom_site_fract_y
_atom_site_fract_z
_atom_site_occupancy
Pb1 0.000 0.000 0.000 1
Pb2 0.500 0.500 0.000 1
Sb1 0.837 0.663 0.000 1
Sb2 0.663 0.163 0.000 1
Sb3 0.337 0.837 0.000 1
Sb4 0.163 0.337 0.000 1
Mg1 0.135 0.635 0.500 1
Mg2 0.365 0.135 0.500 1
Mg3 0.865 0.365 0.500 1
Mg4 0.635 0.865 0.500 1
```

Summary:
Formation energy without anion corrections = -0.15 eV per atom
Excess energy over the best structure of this formula in the dataset = 67.7 meV per atom

Record 5
An optimized crystal structure of HfBe2Cr, computed with PBE.

Geometry as CIF:
```
data_HfBe2Cr
_cell_length_a 3.840
_cell_length_b 3.840
_cell_length_c 8.282
_cell_angle_alpha 76.59
_cell_angle_beta 76.59
_cell_angle_gamma 90.00
_symmetry_space_group_name_H-M 'P 1'
_symmetry_Int_Tables_number 1
loop_
_symmetry_equiv_pos_as_xyz
'x,y,z'
loop_
_atom_site_label
_atom_site_fract_x
_atom_site_fract_y
_atom_site_fract_z
_atom_site_occupancy
Be1 0.433 0.125 0.250 1
Be2 0.317 0.625 0.250 1
Be3 0.375 0.567 0.750 1
Be4 0.875 0.683 0.750 1
Hf1 0.000 0.000 0.000 1
Hf2 0.750 0.250 0.500 1
Cr1 0.500 0.500 0.000 1
Cr2 0.250 0.750 0.500 1
```

Summary:
Calculated formation energy = 0.64 eV per atom
Excess energy over the best structure of this formula in the dataset = 587.2 meV per atom

Record 6
An optimized crystal structure of SrErPdRh, computed with PBE.

Geometry as CIF:
```
data_SrErPdRh
_cell_length_a 5.003
_cell_length_b 5.003
_cell_length_c 5.003
_cell_angle_alpha 60.00
_cell_angle_beta 60.00
_cell_angle_gamma 60.00
_symmetry_space_group_name_H-M 'P 1'
_symmetry_Int_Tables_number 1
loop_
_symmetry_equiv_pos_as_xyz
'x,y,z'
loop_
_atom_site_label
_atom_site_fract_x
_atom_site_fract_y
_atom_site_fract_z
_atom_site_occupancy
Er1 0.250 0.250 0.250 1
Rh1 0.500 0.500 0.500 1
Sr1 0.750 0.750 0.750 1
Pd1 0.000 0.000 0.000 1
```

Summary:
Calculated formation energy = -0.55 eV per atom

Record 7
An optimized crystal structure of Y8SnGe5, computed with PBE.

Geometry as CIF:
```
data_Y8SnGe5
_cell_length_a 7.745
_cell_length_b 7.745
_cell_length_c 7.745
_cell_angle_alpha 109.26
_cell_angle_beta 109.89
_cell_angle_gamma 109.26
_symmetry_space_group_name_H-M 'P 1'
_symmetry_Int_Tables_number 1
loop_
_symmetry_equiv_pos_as_xyz
'x,y,z'
loop_
_atom_site_label
_atom_site_fract_x
_atom_site_fract_y
_atom_site_fract_z
_atom_site_occupancy
Ge1 0.374 0.122 0.997 1
Ge2 0.875 0.878 0.251 1
Ge3 0.003 0.376 0.125 1
Ge4 0.500 0.000 0.500 1
Ge5 0.749 0.624 0.626 1
Y1 0.120 0.756 0.013 1
Y2 0.627 0.377 0.876 1
Y3 0.257 0.244 0.364 1
Y4 0.124 0.751 0.502 1
Y5 0.498 0.623 0.249 1
Y6 0.751 0.249 0.373 1
Y7 0.636 0.893 0.880 1
Y8 0.987 0.107 0.743 1
Sn1 0.250 0.500 0.750 1
```

Summary:
Calculated formation energy = -0.86 eV per atom

Record 8
An optimized crystal structure of AlZn2Co, computed with PBE.

Geometry as CIF:
```
data_AlZn2Co
_cell_length_a 3.124
_cell_length_b 2.996
_cell_length_c 6.440
_cell_angle_alpha 62.38
_cell_angle_beta 90.00
_cell_angle_gamma 90.00
_symmetry_space_group_name_H-M 'P 1'
_symmetry_Int_Tables_number 1
loop_
_symmetry_equiv_pos_as_xyz
'x,y,z'
loop_
_atom_site_label
_atom_site_fract_x
_atom_site_fract_y
_atom_site_fract_z
_atom_site_occupancy
Zn1 0.500 0.254 0.246 1
Zn2 0.000 0.015 0.986 1
Co1 0.500 0.764 0.736 1
Al1 0.000 0.467 0.532 1
```

Summary:
Calculated formation energy = -0.14 eV per atom

These records have total magnetic moment values of 0.0, 0.0, 5.0, 0.0, 0.0, 0.0, 0.0, 0.6 μB per cell, in the order they appear.